[1]
# SrTlCl2 (GGA-PBE, relaxed)
# uncorrected energy	-3.38	eV/atom
# E above lowest polymorph	170	meV per atom
# raw formation energy	-1.445	eV per atom
data_SrTlCl2
_chemical_formula_sum 'Sr2 Tl2 Cl4'
_cell_length_a 4.146
_cell_length_b 6.632
_cell_length_c 9.956
_cell_angle_alpha 90.00
_cell_angle_beta 90.00
_cell_angle_gamma 90.00
_symmetry_space_group_name_H-M 'I m m m'
_symmetry_Int_Tables_number 71
_symmetry_space_group_name_Hall '-I 2 2'
loop_
_atom_site_label
_atom_site_type_symbol
_atom_site_fract_x
_atom_site_fract_y
_atom_site_fract_z
Sr1 Sr 0.000 0.000 0.000
Tl1 Tl 0.000 0.000 0.500
Cl1 Cl 0.000 0.500 0.306

***

[2]
# SrTlCl2 (GGA-PBE, relaxed)
# uncorrected energy	-2.92	eV/atom
# E above lowest polymorph	633	meV per atom
# raw formation energy	-0.981	eV per atom
data_SrTlCl2
_chemical_formula_sum 'Sr4 Tl4 Cl8'
_cell_length_a 7.744
_cell_length_b 7.744
_cell_length_c 7.744
_cell_angle_alpha 90.00
_cell_angle_beta 90.00
_cell_angle_gamma 90.00
_symmetry_space_group_name_H-M 'F -4 3 m'
_symmetry_Int_Tables_number 216
_symmetry_space_group_name_Hall 'F -4 2 3'
loop_
_atom_site_label
_atom_site_type_symbol
_atom_site_fract_x
_atom_site_fract_y
_atom_site_fract_z
Sr1 Sr 0.000 0.000 0.000
Tl1 Tl 0.250 0.250 0.750
Cl1 Cl 0.000 0.000 0.500
Cl2 Cl 0.250 0.250 0.250

***

[3]
# Sr3TlCl (GGA-PBE, relaxed)
# uncorrected energy	-2.55	eV/atom
# E above lowest polymorph	0	meV per atom
# raw formation energy	-0.695	eV per atom
data_Sr3TlCl
_chemical_formula_sum 'Sr3 Tl1 Cl1'
_cell_length_a 5.735
_cell_length_b 5.735
_cell_length_c 5.735
_cell_angle_alpha 90.00
_cell_angle_beta 90.00
_cell_angle_gamma 90.00
_symmetry_space_group_name_H-M 'P m -3 m'
_symmetry_Int_Tables_number 221
_symmetry_space_group_name_Hall '-P 4 2 3'
loop_
_atom_site_label
_atom_site_type_symbol
_atom_site_fract_x
_atom_site_fract_y
_atom_site_fract_z
Sr1 Sr 0.000 0.000 0.500
Tl1 Tl 0.500 0.500 0.500
Cl1 Cl 0.000 0.000 0.000

***

[4]
# SrTl2Cl2 (GGA-PBE, relaxed)
# uncorrected energy	-3.14	eV/atom
# raw formation energy	-1.116	eV per atom
data_SrTl2Cl2
_chemical_formula_sum 'Sr2 Tl4 Cl4'
_cell_length_a 7.575
_cell_length_b 7.575
_cell_length_c 5.897
_cell_angle_alpha 90.00
_cell_angle_beta 90.00
_cell_angle_gamma 90.00
_symmetry_space_group_name_H-M 'P 4/m b m'
_symmetry_Int_Tables_number 127
_symmetry_space_group_name_Hall '-P 4 2ab'
loop_
_atom_site_label
_atom_site_type_symbol
_atom_site_fract_x
_atom_site_fract_y
_atom_site_fract_z
Sr1 Sr 0.000 0.000 0.000
Tl1 Tl 0.174 0.326 0.500
Cl1 Cl 0.171 0.671 0.000

***

[5]
# SrTlCl2 (GGA-PBE, relaxed)
# uncorrected energy	-3.55	eV/atom
# E above lowest polymorph	0	meV per atom
# raw formation energy	-1.615	eV per atom
data_SrTlCl2
_chemical_formula_sum 'Sr3 Tl3 Cl6'
_cell_length_a 4.2856
_cell_length_b 4.2856
_cell_length_c 30.1499
_cell_angle_alpha 90.00
_cell_angle_beta 90.00
_cell_angle_gamma 120.00
_symmetry_space_group_name_H-M 'R -3 m'
_symmetry_Int_Tables_number 166
_symmetry_space_group_name_Hall '-R 3 2"'
loop_
_atom_site_label
_atom_site_type_symbol
_atom_site_fract_x
_atom_site_fract_y
_atom_site_fract_z
Sr1 Sr 0.0000 0.0000 0.0000
Tl1 Tl 0.0000 0.0000 0.5000
Cl1 Cl 0.0000 0.0000 0.3828

***

[6]
# Sr2TlCl5 (GGA-PBE, relaxed)
# uncorrected energy	-3.95	eV/atom
# E above lowest polymorph	42	meV per atom
# raw formation energy	-2.078	eV per atom
data_Sr2TlCl5
_chemical_formula_sum 'Sr4 Tl2 Cl10'
_cell_length_a 4.457
_cell_length_b 7.288
_cell_length_c 15.371
_cell_angle_alpha 90.00
_cell_angle_beta 90.00
_cell_angle_gamma 90.00
_symmetry_space_group_name_H-M 'I m m m'
_symmetry_Int_Tables_number 71
_symmetry_space_group_name_Hall '-I 2 2'
loop_
_atom_site_label
_atom_site_type_symbol
_atom_site_fract_x
_atom_site_fract_y
_atom_site_fract_z
Sr1 Sr 0.000 0.000 0.184
Tl1 Tl 0.000 0.500 0.000
Cl1 Cl 0.000 0.000 0.000
Cl2 Cl 0.000 0.236 0.344

***

[7]
# SrTlCl2 (GGA-PBE, relaxed)
# uncorrected energy	-3.25	eV/atom
# E above lowest polymorph	297	meV per atom
# raw formation energy	-1.317	eV per atom
data_SrTlCl2
_chemical_formula_sum 'Sr2 Tl2 Cl4'
_cell_length_a 4.375
_cell_length_b 4.375
_cell_length_c 12.373
_cell_angle_alpha 90.00
_cell_angle_beta 90.00
_cell_angle_gamma 90.00
_symmetry_space_group_name_H-M 'I -4 m 2'
_symmetry_Int_Tables_number 119
_symmetry_space_group_name_Hall 'I -4 -2'
loop_
_atom_site_label
_atom_site_type_symbol
_atom_site_fract_x
_atom_site_fract_y
_atom_site_fract_z
Sr1 Sr 0.000 0.000 0.000
Tl1 Tl 0.000 0.500 0.750
Cl1 Cl 0.000 0.000 0.500
Cl2 Cl 0.000 0.500 0.250

***

[8]
# SrTlCl2 (GGA-PBE, relaxed)
# uncorrected energy	-3.46	eV/atom
# E above lowest polymorph	92	meV per atom
# raw formation energy	-1.522	eV per atom
data_SrTlCl2
_chemical_formula_sum 'Sr1 Tl1 Cl2'
_cell_length_a 3.623
_cell_length_b 3.623
_cell_length_c 10.922
_cell_angle_alpha 90.00
_cell_angle_beta 90.00
_cell_angle_gamma 90.00
_symmetry_space_group_name_H-M 'P 4/m m m'
_symmetry_Int_Tables_number 123
_symmetry_space_group_name_Hall '-P 4 2'
loop_
_atom_site_label
_atom_site_type_symbol
_atom_site_fract_x
_atom_site_fract_y
_atom_site_fract_z
Sr1 Sr 0.000 0.000 0.000
Tl1 Tl 0.000 0.000 0.500
Cl1 Cl 0.500 0.500 0.148